# AgRh2W

A geometry-optimized AgRh2W structure (PBE-GGA, Alexandria via LeMat-Bulk).

## Properties
M_tot (μB/atom): 0.00
Fermi-level density of states (states/eV/f.u.): 4.12
E_form (meV/atom): 173
ΔE to the lowest computed polymorph (eV per atom): 0.212

Lattice parameters (Å, degrees): 4.7548 4.7548 2.8145 90.00 90.00 105.98
Positions (direct):
1 Ag 0.5000 0.5000 0.5000
2 W 0.0000 0.0000 0.5000
3 Rh 0.5000 0.0000 0.0000
4 Rh 0.0000 0.5000 0.0000